No. 1
Here is PuGePd2 after structural relaxation from Alexandria. Energies are from PBE.

Unit cell a=4.354 b=4.354 c=5.446 alpha=66.44 beta=66.44 gamma=60.00
Sites, in units of the cell vectors:
Pd (0.213, 0.213, 0.361)
Pd (0.787, 0.787, 0.639)
Pu (0.000, 0.000, 0.000)
Ge (0.500, 0.500, 0.500)

Computed properties:
**SG**: R-3m
**M_tot**: 1.352 μB/atom
**Calculated density**: 11.086 g/cm³

---

No. 2
Here is PuGe3Pd2 after structural relaxation from Alexandria. Energies are from PBE.

Unit cell a=5.890 b=5.890 c=8.041 alpha=68.52 beta=68.52 gamma=60.00
Sites, in units of the cell vectors:
Ge (0.737, 0.250, 0.276)
Pd (0.000, 0.500, 0.000)
Pd (0.500, 0.000, 0.000)
Pu (0.795, 0.795, 0.615)
Ge (0.263, 0.750, 0.724)
Ge (0.750, 0.263, 0.724)
Pu (0.205, 0.205, 0.385)
Ge (0.737, 0.737, 0.276)
Ge (0.263, 0.263, 0.724)
Pd (0.000, 0.000, 0.000)
Ge (0.250, 0.737, 0.276)
Pd (0.500, 0.500, 0.000)

Computed properties:
**SG**: R-3m
**M_tot**: 0.871 μB/atom
**Energy relative to the lowest polymorph listed for this composition**: 30 meV/atom
**Calculated density**: 10.238 g/cm³

---

No. 3
Here is Pu3Ge2Pd6 after structural relaxation from Alexandria. Energies are from PBE.

Unit cell a=8.159 b=8.159 c=8.159 alpha=109.47 beta=109.47 gamma=109.47
Sites, in units of the cell vectors:
Pu (0.728, 0.728, 0.000)
Pd (0.339, 0.661, 0.000)
Ge (0.500, 0.500, 0.500)
Pd (0.661, 0.339, 0.000)
Pd (0.000, 0.339, 0.661)
Pd (0.679, 0.339, 0.339)
Pu (0.000, 0.728, 0.728)
Pu (0.272, 0.272, 0.000)
Ge (0.000, 0.500, 0.000)
Pu (0.728, 0.000, 0.728)
Pd (0.339, 0.339, 0.679)
Pu (0.000, 0.272, 0.272)
Pd (0.339, 0.000, 0.661)
Ge (0.000, 0.000, 0.500)
Pd (0.321, 0.661, 0.661)
Pd (0.000, 0.661, 0.339)
Pd (0.661, 0.321, 0.661)
Pd (0.661, 0.661, 0.321)
Pu (0.272, 0.000, 0.272)
Pd (0.339, 0.679, 0.339)
Pd (0.661, 0.000, 0.339)
Ge (0.500, 0.000, 0.000)

Computed properties:
**SG**: Im-3m
**M_tot**: 1.527 μB/atom
**Calculated density**: 12.039 g/cm³

---

No. 4
Here is PuGePd6 after structural relaxation from Alexandria. Energies are from PBE.

Unit cell a=5.517 b=5.517 c=7.023 alpha=66.87 beta=66.87 gamma=60.00
Sites, in units of the cell vectors:
Pd (0.437, 0.924, 0.716)
Pd (0.563, 0.076, 0.284)
Pd (0.924, 0.437, 0.716)
Pd (0.076, 0.563, 0.284)
Ge (0.000, 0.000, 0.000)
Pd (0.076, 0.076, 0.284)
Pd (0.924, 0.924, 0.716)
Pu (0.500, 0.500, 0.500)

Computed properties:
**SG**: R-3m
**M_tot**: 0.614 μB/atom
**Calculated density**: 9.611 g/cm³

---

| no. | ΔH_f (0 K) (eV per atom) | DOS(E_F) (states/eV/f.u.) |
| --- | --- | --- |
| 1 | -0.483 | 16.315 |
| 2 | -0.416 | 11.379 |
| 3 | -0.542 | 33.288 |
| 4 | -0.164 | 16.412 |